Computed, not measured: a relaxed CaHgBr2 crystal at the PBE level of DFT.

It has space group P4/mmm (No. 123), with a = 5.168 Å, b = 5.168 Å, c = 4.271 Å, α = 90.00°, β = 90.00° and γ = 90.00°. Symmetry generates all atoms from Ca at (0.000, 0.000, 0.000), Hg at (0.500, 0.500, 0.000) and Br at (0.000, 0.500, 0.500).

Its crystal system is tetragonal. The energy above the lowest structure with this stoichiometry comes out at 0.4118 eV/atom. The calculation puts the uncorrected formation energy at -421.3 kJ/mol of formula units. For the total magnetization, the calculation gives 0.000 μB per cell.

Computed, not measured: a relaxed CaHgBr2 crystal at the PBE level of DFT.

It has space group Cm (No. 8), with a = 20.245 Å, b = 3.843 Å, c = 4.137 Å, α = 90.00°, β = 101.64° and γ = 90.00°. Symmetry generates all atoms from Ca at (0.000, 0.000, 0.000), Hg at (0.245, 0.500, 0.246), Br at (0.062, 0.500, 0.562) and Br at (0.399, 0.000, 0.903).

Its crystal system is monoclinic. The energy above the lowest structure with this stoichiometry comes out at 0.1320 eV/atom. The calculation puts the uncorrected formation energy at -529.3 kJ/mol of formula units. For the total magnetization, the calculation gives 0.000 μB per cell.